# 1
Density functional theory data (PBE) for a relaxed structure of BeRh2WCl.

abc: 4.794 4.794 4.513
angles: 90.00 90.00 90.00
Space group P4/mmm (No. 123)
One atom of each set of equivalent atoms:
Be1 0.000 0.000 0.000 [1 per cell]
Rh1 0.000 0.500 0.500 [2 per cell]
W1 0.500 0.500 0.500 [1 per cell]
Cl1 0.500 0.500 0.000 [1 per cell]

Results
- D(E_F) (states/eV/cell) = 3.7
- E_form (uncorrected) (eV/atom) = 1.257
- DFT total energy (eV per atom) = -5.389

=====

# 2
Density functional theory data (PBE) for a relaxed structure of Sc2TcH2.

abc: 3.220 3.220 11.897
angles: 90.00 90.00 90.00
Space group I4/mmm (No. 139)
One atom of each set of equivalent atoms:
Sc1 0.000 0.000 0.141 [4 per cell]
Tc1 0.000 0.000 0.500 [2 per cell]
H1 0.000 0.500 0.250 [4 per cell]

Results
- D(E_F) (states/eV/cell) = 8.9
- DFT total energy (eV per atom) = -6.312

=====

# 3
Density functional theory data (PBE) for a relaxed structure of Tm2Ga2Ag.

abc: 10.699 4.405 10.338
angles: 90.00 117.31 90.00
Space group C2/m (No. 12)
One atom of each set of equivalent atoms:
Tm1 0.008 0.000 0.327 [4 per cell]
Tm2 0.180 0.000 0.102 [4 per cell]
Ga1 0.031 0.500 0.889 [4 per cell]
Ga2 0.133 0.500 0.571 [4 per cell]
Ag1 0.222 0.500 0.350 [4 per cell]

Results
- D(E_F) (states/eV/cell) = 9.4
- DFT total energy (eV per atom) = -4.096
- formation enthalpy at 0 K (kJ per mole of atoms) = -51

=====

# 4
Density functional theory data (PBE) for a relaxed structure of Er4AgSb2.

abc: 9.237 9.517 9.569
angles: 90.00 90.00 90.00
Space group Imma (No. 74)
One atom of each set of equivalent atoms:
Er1 0.000 0.051 0.190 [8 per cell]
Er2 0.198 0.250 0.562 [8 per cell]
Ag1 0.000 0.250 0.862 [4 per cell]
Sb1 0.000 0.000 0.500 [4 per cell]
Sb2 0.250 0.250 0.250 [4 per cell]

Results
- D(E_F) (states/eV/cell) = 23.2
- E_form (uncorrected) (eV/atom) = -0.499
- DFT total energy (eV per atom) = -4.691

=====

# 5
Density functional theory data (PBE) for a relaxed structure of Rb4NpU3S12.

abc: 10.422 10.422 10.422
angles: 90.00 90.00 90.00
Space group Im-3m (No. 229)
One atom of each set of equivalent atoms:
Rb1 0.250 0.250 0.250 [8 per cell]
Np1 0.000 0.000 0.000 [2 per cell]
U1 0.000 0.000 0.500 [6 per cell]
S1 0.000 0.000 0.254 [12 per cell]
S2 0.000 0.250 0.500 [12 per cell]

Results
- D(E_F) (states/eV/cell) = 43.9
- E_form (uncorrected) (eV/atom) = -1.317
- DFT total energy (eV per atom) = -6.327

=====

# 6
Density functional theory data (PBE) for a relaxed structure of Li2H2Br2N.

abc: 11.025 6.551 3.124
angles: 90.00 103.63 90.00
Space group C2/m (No. 12)
One atom of each set of equivalent atoms:
Li1 0.000 0.223 0.000 [4 per cell]
H1 0.095 0.000 0.581 [4 per cell]
Br1 0.173 0.500 0.195 [4 per cell]
N1 0.000 0.000 0.500 [2 per cell]

Results
- D(E_F) (states/eV/cell) = 4.5
- DFT total energy (eV per atom) = -3.705

=====

# 7
Density functional theory data (PBE) for a relaxed structure of Sc4MoBr.

abc: 8.170 8.170 8.170
angles: 90.00 90.00 90.00
Space group F-43m (No. 216)
One atom of each set of equivalent atoms:
Sc1 0.121 0.121 0.379 [16 per cell]
Mo1 0.250 0.250 0.750 [4 per cell]
Br1 0.000 0.000 0.000 [4 per cell]

Results
- D(E_F) (states/eV/cell) = 30.6
- E_form (uncorrected) (eV/atom) = 0.645
- DFT total energy (eV per atom) = -5.660

=====

# 8
Density functional theory data (PBE) for a relaxed structure of PmGaSb2.

abc: 5.614 5.614 3.392
angles: 90.00 90.00 90.00
Space group P4/mmm (No. 123)
One atom of each set of equivalent atoms:
Pm1 0.000 0.000 0.000 [1 per cell]
Ga1 0.500 0.500 0.000 [1 per cell]
Sb1 0.000 0.500 0.500 [2 per cell]

Results
- excess energy over the best structure of this formula in the dataset (eV per atom) = 0.145
- D(E_F) (states/eV/cell) = 2.0
- E_form (uncorrected) (eV/atom) = -0.398
- DFT total energy (eV per atom) = -4.403

=====

D(E_F) of number 6 (Li2H2Br2N)?
4.5 states/eV/cell